Nd2CuTe4: relaxed, PBE.

Unit cell a=7.7139 b=6.3136 c=8.8222 alpha=90.00 beta=106.63 gamma=90.00
Element x y z (fractional)
Nd  0.2240  0.2500  0.4323
Nd  0.2483  0.2500  0.9358
Nd  0.7517  0.7500  0.0642
Nd  0.7760  0.7500  0.5677
Cu  0.2225  0.7500  0.6799
Cu  0.7775  0.2500  0.3201
Te  0.0774  0.7500  0.3816
Te  0.0801  0.7500  0.9069
Te  0.4930  0.5040  0.2520
Te  0.4930  0.9960  0.2520
Te  0.5070  0.0040  0.7480
Te  0.5070  0.4960  0.7480
Te  0.9199  0.2500  0.0931
Te  0.9226  0.2500  0.6184

Its magnetization is 0.00 μB/f.u. As for the formation energy without anion corrections: -1048 meV per atom. As for the density of states at the Fermi level: 1.03 states/eV/cell. For the energy, the calculation gives -4.790 eV/atom. As for the space group: P2_1/m (11).